No. 1
The following is a DFT calculation (GGA-PBE) of a geometry-optimized Mg2Ga4Ru structure.

POSCAR file:
```
Mg2Ga4Ru
1.0
-2.411 2.411 6.705
2.411 -2.411 6.705
2.411 2.411 -6.705
Mg Ga Ru
2 4 1
Direct
0.120 0.120 0.000
0.880 0.880 0.000
0.000 0.500 0.500
0.317 0.317 0.000
0.500 0.000 0.500
0.683 0.683 0.000
0.500 0.500 0.000
```

Calculated values
DOS(E_F) = 4.005 states/eV/f.u.
Energy of formation from the pure elements = 65 meV/atom

=====

No. 2
The following is a DFT calculation (GGA-PBE) of a geometry-optimized LiDyYLu structure.

POSCAR file:
```
LiDyYLu
1.0
0.000 3.842 3.842
3.842 0.000 3.842
3.842 3.842 0.000
Li Dy Y Lu
1 1 1 1
Direct
0.000 0.000 0.000
0.250 0.250 0.250
0.750 0.750 0.750
0.500 0.500 0.500
```

Calculated values
DOS(E_F) = 3.389 states/eV/f.u.
Energy of formation from the pure elements = 162 meV/atom

=====

No. 3
The following is a DFT calculation (GGA-PBE) of a geometry-optimized Y3ErTh4 structure.

POSCAR file:
```
Y3ErTh4
1.0
-1.718 5.708 6.593
1.718 -5.708 6.593
1.718 5.708 -6.593
Y Er Th
3 1 4
Direct
0.000 0.000 0.000
0.264 0.764 0.500
0.736 0.236 0.500
0.500 0.500 0.000
0.119 0.371 0.749
0.378 0.629 0.749
0.622 0.371 0.251
0.881 0.629 0.251
```

Calculated values
DOS(E_F) = 10.559 states/eV/f.u.
Energy of formation from the pure elements = 137 meV/atom

=====

No. 4
The following is a DFT calculation (GGA-PBE) of a geometry-optimized NaZn2As structure.

POSCAR file:
```
NaZn2As
1.0
-4.048 4.048 2.784
4.048 -4.048 2.784
4.048 4.048 -2.784
Na Zn As
2 4 2
Direct
0.000 0.000 0.000
0.750 0.250 0.500
0.204 0.625 0.079
0.375 0.454 0.579
0.546 0.125 0.921
0.875 0.796 0.421
0.250 0.750 0.500
0.500 0.500 0.000
```

Calculated values
DOS(E_F) = 0.742 states/eV/f.u.
Energy of formation from the pure elements = 11 meV/atom

=====

No. 5
The following is a DFT calculation (GGA-PBE) of a geometry-optimized Nd4Dy3Zn structure.

POSCAR file:
```
Nd4Dy3Zn
1.0
3.648 0.000 0.000
0.000 3.648 0.000
0.000 0.000 18.863
Nd Dy Zn
4 3 1
Direct
0.000 0.000 0.098
0.000 0.000 0.367
0.000 0.000 0.633
0.000 0.000 0.902
0.500 0.500 0.234
0.500 0.500 0.500
0.500 0.500 0.766
0.500 0.500 0.000
```

Calculated values
DOS(E_F) = 10.074 states/eV/f.u.
Energy of formation from the pure elements = -62 meV/atom

=====

No. 6
The following is a DFT calculation (GGA-PBE) of a geometry-optimized Rb3PmO3 structure.

POSCAR file:
```
Rb3PmO3
1.0
3.904 -6.363 0.000
3.904 6.363 0.000
-1.018 0.000 7.353
Rb Pm O
6 2 6
Direct
0.213 0.787 0.000
0.258 0.742 0.500
0.359 0.359 0.139
0.641 0.641 0.861
0.742 0.258 0.500
0.787 0.213 0.000
0.184 0.184 0.650
0.816 0.816 0.350
0.105 0.105 0.342
0.178 0.459 0.767
0.459 0.178 0.767
0.541 0.822 0.233
0.822 0.541 0.233
0.895 0.895 0.658
```

Calculated values
DOS(E_F) = 0.000 states/eV/f.u.
ΔE_f (raw) = -42.3 kcal/mol of atoms

=====

Question: The highest DOS(E_F) belongs to which entry?
Answer: Y3ErTh4

=====

Question: Which of these has the lowest DOS(E_F)?
Answer: Rb3PmO3

=====

Question: Which of these has the highest DOS(E_F)?
Answer: Y3ErTh4